Entry 1:
Here is Tl2InSe at its PBEsol-relaxed geometry from Alexandria via LeMat-Bulk. Energies are from meta-GGA SCAN.

```
data_Tl2InSe
_cell_length_a 3.8670
_cell_length_b 3.8670
_cell_length_c 25.8912
_cell_angle_alpha 90.00
_cell_angle_beta 90.00
_cell_angle_gamma 120.00
_symmetry_space_group_name_H-M 'R 3 m'
_symmetry_Int_Tables_number 160
_symmetry_space_group_name_Hall 'R 3 -2"'
loop_
_atom_site_label
_atom_site_type_symbol
_atom_site_fract_x
_atom_site_fract_y
_atom_site_fract_z
Tl1 Tl 0.0000 0.0000 0.0000
Tl2 Tl 0.0000 0.0000 0.2364
In1 In 0.0000 0.0000 0.7575
Se1 Se 0.0000 0.0000 0.4870
```

Computed properties:
Magnetic moment   0.000 μB/atom
N(E_F)   0.328 states/eV/atom
E_form (uncorrected)   -0.250 eV per atom
E_tot   -597.544 eV/cell
Energy relative to the lowest polymorph listed for this composition   0.0000 eV per atom

Entry 2:
Here is KNb5O13 at its PBEsol-relaxed geometry from Alexandria via LeMat-Bulk. Energies are from meta-GGA SCAN.

```
data_KNb5O13
_cell_length_a 5.7155
_cell_length_b 10.8344
_cell_length_c 16.9552
_cell_angle_alpha 90.00
_cell_angle_beta 90.00
_cell_angle_gamma 90.00
_symmetry_space_group_name_H-M 'P b c m'
_symmetry_Int_Tables_number 57
_symmetry_space_group_name_Hall '-P 2c 2b'
loop_
_atom_site_label
_atom_site_type_symbol
_atom_site_fract_x
_atom_site_fract_y
_atom_site_fract_z
K1 K 0.2098 0.1733 0.2500
Nb1 Nb 0.1632 0.5662 0.0759
Nb2 Nb 0.3269 0.2500 0.0000
Nb3 Nb 0.3444 0.6329 0.6369
O1 O 0.0942 0.5153 0.6354
O2 O 0.1278 0.7190 0.1273
O3 O 0.1287 0.1063 0.5044
O4 O 0.3585 0.6249 0.5127
O5 O 0.3694 0.6535 0.7500
O6 O 0.4044 0.0054 0.6358
O7 O 0.4039 0.2457 0.1108
```

Computed properties:
Magnetic moment   0.000 μB/atom
N(E_F)   0.000 states/eV/atom
E_form (uncorrected)   -2.728 eV per atom
E_tot   -1227.286 eV/cell

Entry 3:
Here is SrZrPb2 at its PBEsol-relaxed geometry from Alexandria via LeMat-Bulk. Energies are from meta-GGA SCAN.

```
data_SrZrPb2
_cell_length_a 7.7190
_cell_length_b 7.7190
_cell_length_c 7.7190
_cell_angle_alpha 90.00
_cell_angle_beta 90.00
_cell_angle_gamma 90.00
_symmetry_space_group_name_H-M 'F -4 3 m'
_symmetry_Int_Tables_number 216
_symmetry_space_group_name_Hall 'F -4 2 3'
loop_
_atom_site_label
_atom_site_type_symbol
_atom_site_fract_x
_atom_site_fract_y
_atom_site_fract_z
Sr1 Sr 0.0000 0.0000 0.0000
Zr1 Zr 0.2500 0.2500 0.7500
Pb1 Pb 0.0000 0.0000 0.5000
Pb2 Pb 0.2500 0.2500 0.2500
```

Computed properties:
Magnetic moment   0.706 μB/atom
N(E_F)   0.757 states/eV/atom
Formation energy   0.162 eV/atom
E_tot   -815.554 eV/cell

Entry 4:
Here is LiAgAu2F at its PBEsol-relaxed geometry from Alexandria via LeMat-Bulk. Energies are from meta-GGA SCAN.

```
data_LiAgAu2F
_cell_length_a 5.1498
_cell_length_b 5.1498
_cell_length_c 4.1383
_cell_angle_alpha 90.00
_cell_angle_beta 90.00
_cell_angle_gamma 90.00
_symmetry_space_group_name_H-M 'P 4/m m m'
_symmetry_Int_Tables_number 123
_symmetry_space_group_name_Hall '-P 4 2'
loop_
_atom_site_label
_atom_site_type_symbol
_atom_site_fract_x
_atom_site_fract_y
_atom_site_fract_z
Li1 Li 0.0000 0.0000 0.0000
Ag1 Ag 0.5000 0.5000 0.5000
Au1 Au 0.0000 0.5000 0.5000
F1 F 0.5000 0.5000 0.0000
```

Computed properties:
Magnetic moment   0.000 μB/atom
N(E_F)   0.163 states/eV/atom
E_form (uncorrected)   -0.167 eV per atom
E_tot   -176.448 eV/cell

Entry 5:
Here is RbPbSe2Br at its PBEsol-relaxed geometry from Alexandria via LeMat-Bulk. Energies are from meta-GGA SCAN.

```
data_RbPbSe2Br
_cell_length_a 5.4985
_cell_length_b 5.4985
_cell_length_c 5.8595
_cell_angle_alpha 90.00
_cell_angle_beta 90.00
_cell_angle_gamma 90.00
_symmetry_space_group_name_H-M 'P 4/m m m'
_symmetry_Int_Tables_number 123
_symmetry_space_group_name_Hall '-P 4 2'
loop_
_atom_site_label
_atom_site_type_symbol
_atom_site_fract_x
_atom_site_fract_y
_atom_site_fract_z
Rb1 Rb 0.0000 0.0000 0.0000
Pb1 Pb 0.5000 0.5000 0.5000
Se1 Se 0.0000 0.5000 0.0000
Br1 Br 0.0000 0.0000 0.5000
```

Computed properties:
Magnetic moment   0.000 μB/atom
N(E_F)   0.320 states/eV/atom
E_form (uncorrected)   0.364 eV per atom
E_tot   -154.317 eV/cell

Entry 6:
Here is LiLaP4O12 at its PBEsol-relaxed geometry from Alexandria via LeMat-Bulk. Energies are from meta-GGA SCAN.

```
data_LiLaP4O12
_cell_length_a 16.5857
_cell_length_b 7.0990
_cell_length_c 9.9167
_cell_angle_alpha 90.00
_cell_angle_beta 126.60
_cell_angle_gamma 90.00
_symmetry_space_group_name_H-M 'C 1 2/c 1'
_symmetry_Int_Tables_number 15
_symmetry_space_group_name_Hall '-C 2yc'
loop_
_atom_site_label
_atom_site_type_symbol
_atom_site_fract_x
_atom_site_fract_y
_atom_site_fract_z
Li1 Li 0.0000 0.2002 0.2500
La1 La 0.0000 0.3001 0.7500
P1 P 0.1380 0.0599 0.1640
P2 P 0.1490 0.3391 0.5963
O1 O 0.0652 0.0071 0.2014
O2 O 0.0747 0.3984 0.4165
O3 O 0.1143 0.2231 0.0508
O4 O 0.1298 0.3852 0.7218
O5 O 0.1606 0.1149 0.5893
O6 O 0.2434 0.0894 0.3451
```

Computed properties:
Magnetic moment   0.000 μB/atom
N(E_F)   0.000 states/eV/atom
E_form (uncorrected)   -2.748 eV per atom
E_tot   -845.280 eV/cell

Entry 7:
Here is HgSbO2 at its PBEsol-relaxed geometry from Alexandria via LeMat-Bulk. Energies are from meta-GGA SCAN.

```
data_HgSbO2
_cell_length_a 6.0609
_cell_length_b 6.0609
_cell_length_c 6.0609
_cell_angle_alpha 90.00
_cell_angle_beta 90.00
_cell_angle_gamma 90.00
_symmetry_space_group_name_H-M 'F m -3 m'
_symmetry_Int_Tables_number 225
_symmetry_space_group_name_Hall '-F 4 2 3'
loop_
_atom_site_label
_atom_site_type_symbol
_atom_site_fract_x
_atom_site_fract_y
_atom_site_fract_z
Hg1 Hg 0.0000 0.0000 0.0000
Sb1 Sb 0.0000 0.0000 0.5000
O1 O 0.2500 0.2500 0.2500
```

Computed properties:
Magnetic moment   0.000 μB/atom
N(E_F)   0.217 states/eV/atom
E_form (uncorrected)   -0.040 eV per atom
E_tot   -472.196 eV/cell
Energy relative to the lowest polymorph listed for this composition   0.7167 eV per atom

Entry 8:
Here is YP at its PBEsol-relaxed geometry from Alexandria via LeMat-Bulk. Energies are from meta-GGA SCAN.

```
data_YP
_cell_length_a 10.3089
_cell_length_b 3.7597
_cell_length_c 7.1860
_cell_angle_alpha 90.00
_cell_angle_beta 112.38
_cell_angle_gamma 90.00
_symmetry_space_group_name_H-M 'C 1 m 1'
_symmetry_Int_Tables_number 8
_symmetry_space_group_name_Hall 'C -2y'
loop_
_atom_site_label
_atom_site_type_symbol
_atom_site_fract_x
_atom_site_fract_y
_atom_site_fract_z
Y1 Y 0.0000 0.0000 0.0000
Y2 Y 0.1594 0.0000 0.6559
Y3 Y 0.3285 0.5000 0.3631
P1 P 0.0472 0.5000 0.3248
P2 P 0.2176 0.5000 0.9609
P3 P 0.4252 0.0000 0.6704
```

Computed properties:
Magnetic moment   0.000 μB/atom
N(E_F)   0.133 states/eV/atom
Formation energy   -1.481 eV/atom
E_tot   -247.224 eV/cell

Entry 9:
Here is AlPW at its PBEsol-relaxed geometry from Alexandria via LeMat-Bulk. Energies are from meta-GGA SCAN.

```
data_AlPW
_cell_length_a 5.8569
_cell_length_b 5.8569
_cell_length_c 5.8569
_cell_angle_alpha 90.00
_cell_angle_beta 90.00
_cell_angle_gamma 90.00
_symmetry_space_group_name_H-M 'F -4 3 m'
_symmetry_Int_Tables_number 216
_symmetry_space_group_name_Hall 'F -4 2 3'
loop_
_atom_site_label
_atom_site_type_symbol
_atom_site_fract_x
_atom_site_fract_y
_atom_site_fract_z
Al1 Al 0.0000 0.0000 0.0000
P1 P 0.0000 0.0000 0.5000
W1 W 0.2500 0.2500 0.7500
```

Computed properties:
Magnetic moment   0.001 μB/atom
N(E_F)   0.434 states/eV/atom
Formation energy   0.585 eV/atom
E_tot   -344.334 eV/cell

Entry 10:
Here is YInSnHg2 at its PBEsol-relaxed geometry from Alexandria via LeMat-Bulk. Energies are from meta-GGA SCAN.

```
data_YInSnHg2
_cell_length_a 5.3486
_cell_length_b 5.3486
_cell_length_c 5.4126
_cell_angle_alpha 90.00
_cell_angle_beta 90.00
_cell_angle_gamma 90.00
_symmetry_space_group_name_H-M 'P 4/m m m'
_symmetry_Int_Tables_number 123
_symmetry_space_group_name_Hall '-P 4 2'
loop_
_atom_site_label
_atom_site_type_symbol
_atom_site_fract_x
_atom_site_fract_y
_atom_site_fract_z
Y1 Y 0.0000 0.0000 0.0000
In1 In 0.5000 0.5000 0.0000
Sn1 Sn 0.5000 0.5000 0.5000
Hg1 Hg 0.0000 0.5000 0.5000
```

Computed properties:
Magnetic moment   0.000 μB/atom
N(E_F)   0.686 states/eV/atom
Formation energy   0.339 eV/atom
E_tot   -231.785 eV/cell

Entry 11:
Here is CaLaPb2 at its PBEsol-relaxed geometry from Alexandria via LeMat-Bulk. Energies are from meta-GGA SCAN.

```
data_CaLaPb2
_cell_length_a 7.2468
_cell_length_b 9.0304
_cell_length_c 3.6205
_cell_angle_alpha 90.00
_cell_angle_beta 90.00
_cell_angle_gamma 90.00
_symmetry_space_group_name_H-M 'C m m m'
_symmetry_Int_Tables_number 65
_symmetry_space_group_name_Hall '-C 2 2'
loop_
_atom_site_label
_atom_site_type_symbol
_atom_site_fract_x
_atom_site_fract_y
_atom_site_fract_z
Ca1 Ca 0.0000 0.0000 0.0000
La1 La 0.0000 0.5000 0.0000
Pb1 Pb 0.2500 0.2500 0.5000
```

Computed properties:
Magnetic moment   0.078 μB/atom
N(E_F)   0.574 states/eV/atom
Formation energy   -0.772 eV/atom
E_tot   -414.841 eV/cell

Entry 12:
Here is NaZrP2Cl at its PBEsol-relaxed geometry from Alexandria via LeMat-Bulk. Energies are from meta-GGA SCAN.

```
data_NaZrP2Cl
_cell_length_a 4.7425
_cell_length_b 4.7425
_cell_length_c 4.5275
_cell_angle_alpha 90.00
_cell_angle_beta 90.00
_cell_angle_gamma 90.00
_symmetry_space_group_name_H-M 'P 4/m m m'
_symmetry_Int_Tables_number 123
_symmetry_space_group_name_Hall '-P 4 2'
loop_
_atom_site_label
_atom_site_type_symbol
_atom_site_fract_x
_atom_site_fract_y
_atom_site_fract_z
Na1 Na 0.0000 0.0000 0.0000
Zr1 Zr 0.5000 0.5000 0.5000
P1 P 0.0000 0.5000 0.0000
Cl1 Cl 0.0000 0.0000 0.5000
```

Computed properties:
Magnetic moment   0.000 μB/atom
N(E_F)   0.491 states/eV/atom
E_form (uncorrected)   0.540 eV per atom
E_tot   -60.990 eV/cell